SrPtNO PBE relaxed; total DFT energy (no corrections) = -5.740 eV per atom; crystal system = orthorhombic; calculated volume = 17.58 Å³ per atom; symmetry = No. 26
1.0
4.2174 0.0000 0.0000
0.0000 6.1769 0.0000
0.0000 0.0000 5.3999
Sr Pt N O
2 2 2 2
Cartesian
0.0000 1.1392 0.0000
0.0000 5.0377 2.6999
2.1087 2.5479 2.5422
2.1087 3.6290 5.2422
2.1087 1.9370 4.3319
2.1087 4.2399 1.6320
0.0000 1.2566 2.4056
0.0000 4.9203 5.1055



Ac2Sn3Pd5 PBE relaxed; total DFT energy (no corrections) = -5.391 eV per atom; crystal system = orthorhombic; calculated volume = 22.98 Å³ per atom; symmetry = No. 72
1.0
-5.5227 6.5370 3.1827
5.5227 -6.5370 3.1827
5.5227 6.5370 -3.1827
Ac Sn Pd
4 6 10
Cartesian
2.5766 1.6891 0.0000
2.5766 -1.6891 3.1827
2.9461 8.2261 0.0000
2.9461 4.8479 3.1827
4.4827 -4.6359 3.1827
5.5227 0.0000 1.5913
4.4827 4.6359 0.0000
1.0400 1.9010 3.1827
0.0000 6.5370 1.5913
1.0400 11.1729 0.0000
5.5227 -2.7493 1.5913
7.4195 1.3426 0.0000
0.0000 0.0000 1.5913
1.8968 5.1944 0.0000
5.5227 2.7493 1.5913
0.0000 3.7877 1.5913
3.6260 1.3426 3.1827
0.0000 0.0000 4.7740
-1.8968 5.1944 3.1827
0.0000 9.2863 1.5913